## NaAlOs2 (PBE)

Data for a relaxed structure of NaAlOs2.

As for the density of states at the Fermi level: 9.403 states/eV/cell. The uncorrected energy is -97.4 eV for the cell shown. The value obtained for the volume is 19.40 Å³ per atom.

The structure belongs to space group I-42d (No. 122); the cell edges are 4.0887, 4.0887 and 18.5715 Å and the angles 90.00°, 90.00° and 90.00°. The asymmetric unit holds Na at (0.0000, 0.0000, 0.0000), Al at (0.0000, 0.0000, 0.5000) and Os at (0.1444, 0.2500, 0.6250).

## EuTlSeCl (PBE)

Data for a relaxed structure of EuTlSeCl.

As for the density of states at the Fermi level: 14.268 states/eV/cell. The uncorrected energy is -93.4 eV for the cell shown. The value obtained for the volume is 27.14 Å³ per atom.

The structure belongs to space group F-43m (No. 216); the cell edges are 7.5722, 7.5722 and 7.5722 Å and the angles 90.00°, 90.00° and 90.00°. The asymmetric unit holds Eu at (0.0000, 0.0000, 0.0000), Tl at (0.0000, 0.0000, 0.5000), Se at (0.2500, 0.2500, 0.7500) and Cl at (0.2500, 0.2500, 0.2500).

## BaSrHg2Pd (PBE)

Data for a relaxed structure of BaSrHg2Pd.

As for the density of states at the Fermi level: 2.988 states/eV/cell. The uncorrected energy is -11.1 eV for the cell shown. The value obtained for the volume is 32.96 Å³ per atom.

The structure belongs to space group P4/mmm (No. 123); the cell edges are 5.5141, 5.5141 and 5.4205 Å and the angles 90.00°, 90.00° and 90.00°. The asymmetric unit holds Ba at (0.0000, 0.0000, 0.0000), Sr at (0.5000, 0.5000, 0.0000), Hg at (0.0000, 0.5000, 0.5000) and Pd at (0.5000, 0.5000, 0.5000).

## ReBAs2Pt (PBE)

Data for a relaxed structure of ReBAs2Pt.

As for the density of states at the Fermi level: 1.516 states/eV/cell. The uncorrected energy is -30.1 eV for the cell shown. The value obtained for the volume is 18.81 Å³ per atom.

The structure belongs to space group P4/mmm (No. 123); the cell edges are 4.8014, 4.8014 and 4.0805 Å and the angles 90.00°, 90.00° and 90.00°. The asymmetric unit holds Re at (0.0000, 0.0000, 0.0000), B at (0.0000, 0.0000, 0.5000), As at (0.0000, 0.5000, 0.0000) and Pt at (0.5000, 0.5000, 0.5000).